The following is a DFT calculation (PBE) of a relaxed structure of TbZr2Zn3.

The structure in extended XYZ format:
```
6
Lattice="-2.643 0.654 2.090 1.918 -0.892 2.703 3.132 9.616 0.952" Properties=species:S:1:pos:R:3 pbc="T T T"
Tb 1.204 4.689 2.873
Zr 2.270 7.962 3.197
Zr 0.137 1.415 2.549
Zn 0.000 0.000 0.000
Zn 2.151 6.603 0.654
Zn 0.981 3.012 0.298
```

The formation energy is -277 meV per atom. The magnetic moment comes out at 0.000 μB/cell.